DFT (PBE) results for a relaxed structure of Sc2TaAuC.

## Properties
**D(E_F)**: 4.1 states/eV/f.u.
**E_form**: -0.472 eV/atom

Unit cell a=4.448 b=4.448 c=4.309 alpha=90.00 beta=90.00 gamma=90.00
Fractional coordinates of all 5 atoms:
Sc  0.000  0.500  0.000
Sc  0.500  0.000  0.000
Ta  0.000  0.000  0.500
Au  0.500  0.500  0.500
C  0.000  0.000  0.000

***

DFT (PBE) results for a relaxed structure of Ac3In2Se8.

## Properties
**ΔE_f (raw)**: -1.1088 eV/atom
**D(E_F)**: 7.3 states/eV/f.u.

Unit cell a=9.751 b=9.751 c=9.751 alpha=44.36 beta=44.36 gamma=44.36
Fractional coordinates of all 13 atoms:
Ac  0.000  0.000  0.000
Ac  0.203  0.203  0.203
Ac  0.797  0.797  0.797
In  0.409  0.409  0.409
In  0.591  0.591  0.591
Se  0.183  0.752  0.752
Se  0.248  0.248  0.817
Se  0.248  0.817  0.248
Se  0.312  0.312  0.312
Se  0.688  0.688  0.688
Se  0.752  0.183  0.752
Se  0.752  0.752  0.183
Se  0.817  0.248  0.248